Record 1
DFT (PBE) results for a relaxed structure of ZrTa2Os.

Values from the calculation:
**Calculated formation energy**: -0.186 eV/atom
**Calculated volume**: 71.55 Å³ per cell

POSCAR file:
```
ZrTa2Os
1.0
-5.1384 1.8195 -0.9541
-5.4071 -1.1245 0.3504
-2.1447 1.8367 3.7032
Ta Zr Os
2 1 1
Direct
0.9897 0.9897 0.0102
0.7464 0.7464 0.7535
0.5081 0.5081 0.4919
0.2557 0.2557 0.2444
```

=====

Record 2
DFT (PBE) results for a relaxed structure of ZrTaOs2.

Values from the calculation:
**Calculated formation energy**: -0.141 eV/atom
**Calculated volume**: 68.63 Å³ per cell

POSCAR file:
```
ZrTaOs2
1.0
5.3495 0.0029 0.0096
4.4731 2.9340 0.0096
1.5863 0.4743 4.3791
Os Zr Ta
2 1 1
Direct
0.0159 0.0159 0.9432
0.7432 0.7432 0.7937
0.2574 0.2574 0.2609
0.4835 0.4835 0.5023
```

=====

Record 3
DFT (PBE) results for a relaxed structure of ZrTaOs2.

Values from the calculation:
**Calculated formation energy**: -0.029 eV/atom
**Calculated volume**: 71.30 Å³ per cell

POSCAR file:
```
ZrTaOs2
1.0
-2.3645 -0.8698 1.8139
2.3579 -3.1835 1.5470
1.8116 3.2455 3.9177
Os Zr Ta
2 1 1
Direct
0.5000 0.5000 0.3074
0.0000 0.0000 0.9404
0.5000 0.5000 0.7942
0.0000 0.0000 0.4581
```

=====

Record 4
DFT (PBE) results for a relaxed structure of ZrTaOs2.

Values from the calculation:
**Calculated formation energy**: 0.045 eV/atom
**Calculated volume**: 69.88 Å³ per cell

POSCAR file:
```
ZrTaOs2
1.0
-8.4243 1.1275 1.5233
-8.4347 -1.7834 0.4854
-7.8198 -1.2051 3.4583
Ta Zr Os
1 1 2
Direct
0.2500 0.2500 0.2500
0.7500 0.7500 0.7500
0.5040 0.5040 0.5040
0.9960 0.9960 0.9960
```

=====

Question: Which of these has the highest calculated formation energy?
Answer: number 4